# Ni2PdPt5

An optimized crystal structure of Ni2PdPt5 (PBE, the Alexandria database).

Unit cell a=6.6434 b=6.6434 c=10.7465 alpha=90.00 beta=90.00 gamma=90.00
Closest atoms and distances in Å follow each position.
Space group I4/mcm (No. 140)
One atom of each set of equivalent atoms:
Ni (0.1444, 0.3556, 0.0000) x8  8 Pt 2.55-2.56, 1 Ni 2.71
Pd (0.0000, 0.0000, 0.2500) x4  10 Pt 2.69-2.74
Pt (0.0000, 0.0000, 0.0000) x4  4 Ni 2.55, 2 Pd 2.69
Pt (0.1490, 0.3510, 0.3460) x16  3 Ni 2.55-2.56, 2 Pd 2.74, 2 Pt 2.80

Properties
Formation energy from the elements, kJ/mol of atoms: 9.9
Distance to the lowest polymorph of the same formula, meV per atom: 100